(1)
The following is a PBE calculation of CuPSeN2 after structural relaxation, from the Alexandria database.

As for the total energy: -21.5 eV for the cell shown. The total magnetization is 2.741 Bohr magnetons per cell. The uncorrected formation energy is 1.631 eV/atom.

The space group is P4/mmm (No. 123) and the conventional cell measures 3.696, 3.696 and 6.027 Å, with angles of 90.00, 90.00 and 90.00 degrees. The inequivalent atoms are Cu at (0.000, 0.000, 0.000), P at (0.500, 0.500, 0.500), Se at (0.000, 0.000, 0.500) and N at (0.000, 0.500, 0.000).


(2)
The following is a PBE calculation of SrCu2PN after structural relaxation, from the Alexandria database.

As for the total energy: -23.0 eV for the cell shown. The total magnetization is 0.000 Bohr magnetons per cell. The uncorrected formation energy is 0.126 eV/atom.

The space group is P4/mmm (No. 123) and the conventional cell measures 4.020, 4.020 and 5.122 Å, with angles of 90.00, 90.00 and 90.00 degrees. The inequivalent atoms are Sr at (0.000, 0.000, 0.000), Cu at (0.000, 0.500, 0.500), P at (0.500, 0.500, 0.000) and N at (0.000, 0.000, 0.500).


(3)
The following is a PBE calculation of SrCuP2N after structural relaxation, from the Alexandria database.

As for the total energy: -13.5 eV for the cell shown. The total magnetization is 4.544 Bohr magnetons per cell. The uncorrected formation energy is 2.285 eV/atom.

The space group is P4/mmm (No. 123) and the conventional cell measures 5.777, 5.777 and 5.983 Å, with angles of 90.00, 90.00 and 90.00 degrees. The inequivalent atoms are Sr at (0.000, 0.000, 0.000), Cu at (0.000, 0.000, 0.500), P at (0.000, 0.500, 0.000) and N at (0.500, 0.500, 0.500).


(4)
The following is a PBE calculation of Ta2CuPN after structural relaxation, from the Alexandria database.

As for the total energy: -42.4 eV for the cell shown. The total magnetization is 0.000 Bohr magnetons per cell. The uncorrected formation energy is -0.182 eV/atom.

The space group is P4/mmm (No. 123) and the conventional cell measures 4.320, 4.320 and 3.607 Å, with angles of 90.00, 90.00 and 90.00 degrees. The inequivalent atoms are Ta at (0.000, 0.500, 0.000), Cu at (0.000, 0.000, 0.500), P at (0.500, 0.500, 0.500) and N at (0.000, 0.000, 0.000).


(5)
The following is a PBE calculation of CuTePN2 after structural relaxation, from the Alexandria database.

As for the total energy: -24.7 eV for the cell shown. The total magnetization is 0.001 Bohr magnetons per cell. The uncorrected formation energy is 0.924 eV/atom.

The space group is P4/mmm (No. 123) and the conventional cell measures 3.463, 3.463 and 6.518 Å, with angles of 90.00, 90.00 and 90.00 degrees. The inequivalent atoms are Cu at (0.000, 0.000, 0.000), Te at (0.500, 0.500, 0.000), P at (0.500, 0.500, 0.500) and N at (0.000, 0.500, 0.500).


(6)
The following is a PBE calculation of CuTe2PN after structural relaxation, from the Alexandria database.

As for the total energy: -19.2 eV for the cell shown. The total magnetization is 1.023 Bohr magnetons per cell. The uncorrected formation energy is 0.987 eV/atom.

The space group is P4/mmm (No. 123) and the conventional cell measures 5.284, 5.284 and 3.564 Å, with angles of 90.00, 90.00 and 90.00 degrees. The inequivalent atoms are Cu at (0.000, 0.000, 0.000), Te at (0.000, 0.500, 0.000), P at (0.500, 0.500, 0.500) and N at (0.000, 0.000, 0.500).


Question: Which of these has the highest total magnetization?
Answer: SrCuP2N